1.
Entry from Alexandria: a geometry-optimized ErLuTc structure (GGA-PBE).

```
6
Lattice="3.4280 0.0000 0.0000 0.0000 3.4280 0.0000 0.0000 0.0000 12.1132" Properties=species:S:1:pos:R:3 pbc="T T T"
Er 0.0000 0.0000 0.0000
Er 1.7140 1.7140 6.0566
Lu 0.0000 0.0000 8.9236
Lu 1.7140 1.7140 2.8670
Tc 0.0000 0.0000 4.4357
Tc 1.7140 1.7140 10.4923
```

Computed properties:
The calculated total energy comes out at -6.60 eV/atom. For the density of states at the Fermi level, the calculation gives 3.36 states/eV/f.u. For the calculated formation energy, the calculation gives -0.1126 eV per atom. The space group is No. 107. The value obtained for the magnetization is 0.0 μB per formula unit.

2.
Entry from Alexandria: a geometry-optimized Tm3ScRu3 structure (GGA-PBE).

```
7
Lattice="4.6265 2.6711 1.9173 -4.6265 2.6711 1.9173 0.0000 -5.3422 1.9173" Properties=species:S:1:pos:R:3 pbc="T T T"
Tm 0.0000 -2.2137 1.9173
Tm -1.9172 1.1069 1.9173
Tm 1.9171 1.1069 1.9173
Sc 0.0000 0.0000 4.4940
Ru -2.3460 -1.3544 3.0379
Ru 2.3460 -1.3544 3.0379
Ru 0.0000 2.7089 3.0379
```

Computed properties:
The calculated total energy comes out at -7.25 eV/atom. For the density of states at the Fermi level, the calculation gives 2.84 states/eV/f.u. For the calculated formation energy, the calculation gives -0.4514 eV per atom. The space group is No. 160. The value obtained for the magnetization is 0.0 μB per formula unit.

3.
Entry from Alexandria: a geometry-optimized Sr2CaMgCu structure (GGA-PBE).

```
5
Lattice="6.0189 0.0000 0.0000 0.0000 6.0189 0.0000 0.0000 0.0000 5.1444" Properties=species:S:1:pos:R:3 pbc="T T T"
Sr 0.0000 3.0095 0.0000
Sr 3.0095 0.0000 0.0000
Ca 0.0000 0.0000 2.5722
Mg 3.0095 3.0095 2.5722
Cu 3.0095 3.0095 0.0000
```

Computed properties:
The calculated total energy comes out at -2.17 eV/atom. For the density of states at the Fermi level, the calculation gives 4.77 states/eV/f.u. For the calculated formation energy, the calculation gives 0.0411 eV per atom. The space group is No. 123. As for the energy relative to the lowest polymorph listed for this composition: 0.000 eV per atom. The value obtained for the magnetization is 0.0 μB per formula unit.

4.
Entry from Alexandria: a geometry-optimized Tm3MgNi8 structure (GGA-PBE).

```
12
Lattice="2.4857 1.4351 8.1377 -2.4857 1.4351 8.1377 0.0000 -2.8703 8.1377" Properties=species:S:1:pos:R:3 pbc="T T T"
Tm 0.0000 0.0000 0.0000
Tm 0.0000 0.0000 3.1134
Tm 0.0000 0.0000 15.0982
Mg 0.0000 0.0000 12.1157
Ni 0.0000 -1.4451 5.5487
Ni -1.2515 0.7226 5.5487
Ni -1.2387 -0.7151 9.6359
Ni 0.0000 0.0000 7.5946
Ni 1.2387 -0.7151 9.6359
Ni 0.0000 1.4303 9.6359
Ni 1.2515 0.7226 5.5488
Ni 0.0000 0.0000 19.8070
```

Computed properties:
The calculated total energy comes out at -5.57 eV/atom. For the density of states at the Fermi level, the calculation gives 10.33 states/eV/f.u. For the calculated formation energy, the calculation gives -0.4605 eV per atom. The space group is No. 160. The value obtained for the magnetization is 0.0 μB per formula unit.

5.
Entry from Alexandria: a geometry-optimized Ac3Ir2Se structure (GGA-PBE).

```
12
Lattice="2.4513 -8.2161 0.0000 2.4513 8.2161 0.0000 -1.8691 0.0000 9.6148" Properties=species:S:1:pos:R:3 pbc="T T T"
Ac 1.0494 5.7483 7.2111
Ac -0.1623 2.2195 8.9518
Ac 0.7723 -2.2195 4.1444
Ac 2.2611 2.2195 5.4704
Ac 3.1957 -2.2195 0.6630
Ac 1.9840 -5.7483 2.4037
Ir 0.2911 4.1081 4.8074
Ir 1.9840 4.1106 2.4037
Ir 1.2256 -4.1081 0.0000
Ir 1.0494 -4.1106 7.2111
Se 1.9840 0.1983 2.4037
Se 1.0494 -0.1983 7.2111
```

Computed properties:
The calculated total energy comes out at -6.46 eV/atom. As for the uncorrected formation energy: -0.868 eV/atom. For the density of states at the Fermi level, the calculation gives 1.42 states/eV/f.u. The space group is No. 15. The value obtained for the magnetization is 0.0 μB per formula unit.

6.
Entry from Alexandria: a geometry-optimized YMg6Tl6 structure (GGA-PBE).

```
13
Lattice="-3.0667 4.8897 5.4346 3.0667 -4.8897 5.4346 3.0667 4.8897 -5.4346" Properties=species:S:1:pos:R:3 pbc="T T T"
Y 0.0000 0.0000 0.0000
Mg 1.5333 2.4449 -2.7173
Mg 1.5333 -2.4449 2.7173
Mg 3.0667 2.4199 0.0000
Mg -1.5333 2.4449 2.7173
Mg 1.5333 2.4449 2.7173
Mg 0.0000 2.4698 5.4346
Tl 3.0667 0.0000 1.7616
Tl 0.0000 0.0000 3.6365
Tl 0.0000 3.3279 0.0000
Tl 0.0000 6.4516 0.0000
Tl 0.0000 0.0000 7.2327
Tl 0.0000 4.8897 3.6730
```

Computed properties:
The calculated total energy comes out at -2.40 eV/atom. For the density of states at the Fermi level, the calculation gives 5.56 states/eV/f.u. For the calculated formation energy, the calculation gives -0.0762 eV per atom. The space group is No. 71. The value obtained for the magnetization is 0.0 μB per formula unit.

7.
Entry from Alexandria: a geometry-optimized CoSiOs2 structure (GGA-PBE).

```
8
Lattice="2.8423 0.0000 0.0000 0.0000 4.6755 0.0000 0.0000 0.0000 8.1947" Properties=species:S:1:pos:R:3 pbc="T T T"
Co 0.0000 0.0000 0.0000
Co 1.4211 2.3378 0.0000
Si 0.0000 0.0000 4.0973
Si 1.4211 2.3378 4.0973
Os 0.0000 2.3378 2.1630
Os 0.0000 2.3378 6.0316
Os 1.4211 0.0000 2.1630
Os 1.4211 0.0000 6.0316
```

Computed properties:
The calculated total energy comes out at -8.41 eV/atom. As for the uncorrected formation energy: 0.338 eV/atom. For the density of states at the Fermi level, the calculation gives 5.05 states/eV/f.u. The space group is No. 65. The value obtained for the magnetization is 2.1 μB per formula unit.

8.
Entry from Alexandria: a geometry-optimized LaTlAgBr6 structure (GGA-PBE).

```
18
Lattice="7.3214 0.0000 0.0000 -3.6607 6.3405 0.0000 0.0000 0.0000 13.9969" Properties=species:S:1:pos:R:3 pbc="T T T"
La 0.0000 4.2270 3.4992
La 3.6607 2.1135 10.4977
Tl 0.0000 0.0000 0.0000
Tl 0.0000 0.0000 6.9985
Ag 0.0000 4.2270 10.4977
Ag 3.6607 2.1135 3.4992
Br -1.2050 2.2855 8.8443
Br -2.2839 4.1543 12.1511
Br 1.2050 2.2855 12.1511
Br -1.0789 6.2413 8.8443
Br 2.5818 0.0992 1.8458
Br 1.3768 2.1863 5.1526
Br 2.2839 4.1543 8.8443
Br 1.0789 6.2413 12.1511
Br 4.7396 0.0992 5.1526
Br 2.4558 4.0550 1.8458
Br 5.9446 2.1863 1.8458
Br 4.8657 4.0550 5.1526
```

Computed properties:
The calculated total energy comes out at -3.36 eV/atom. As for the uncorrected formation energy: -1.115 eV/atom. For the density of states at the Fermi level, the calculation gives 4.64 states/eV/f.u. The space group is No. 163. The value obtained for the magnetization is 0.0 μB per formula unit.

9.
Entry from Alexandria: a geometry-optimized KCd2Cu structure (GGA-PBE).

```
4
Lattice="3.7647 0.0000 0.0000 0.0000 4.6828 0.0000 -1.8607 0.0000 6.6355" Properties=species:S:1:pos:R:3 pbc="T T T"
K 0.0000 0.0000 0.0000
Cd 0.0135 0.0000 3.5148
Cd 1.8939 2.3414 2.7101
Cu 0.0135 2.3414 4.7266
```

Computed properties:
The calculated total energy comes out at -1.60 eV/atom. For the density of states at the Fermi level, the calculation gives 1.09 states/eV/f.u. For the calculated formation energy, the calculation gives 0.1555 eV per atom. The space group is No. 6. As for the energy relative to the lowest polymorph listed for this composition: 0.124 eV per atom. The value obtained for the magnetization is 0.0 μB per formula unit.

10.
Entry from Alexandria: a geometry-optimized LiTbInPb structure (GGA-PBE).

```
4
Lattice="4.4694 0.0000 0.0000 0.0000 4.6440 0.0000 0.0000 0.0000 4.7272" Properties=species:S:1:pos:R:3 pbc="T T T"
Li 0.0000 0.0000 0.0000
Tb 0.0000 2.3220 2.3636
In 2.2347 2.3220 0.0000
Pb 2.2347 0.0000 2.3636
```

Computed properties:
The calculated total energy comes out at -3.66 eV/atom. For the density of states at the Fermi level, the calculation gives 1.28 states/eV/f.u. For the calculated formation energy, the calculation gives -0.4134 eV per atom. The space group is No. 47. As for the energy relative to the lowest polymorph listed for this composition: 0.000 eV per atom. The value obtained for the magnetization is 0.0 μB per formula unit.

11.
Entry from Alexandria: a geometry-optimized PuMnVRu structure (GGA-PBE).

```
16
Lattice="6.3526 0.0000 0.0000 0.0000 6.3526 0.0000 0.0000 0.0000 6.3526" Properties=species:S:1:pos:R:3 pbc="T T T"
Pu 0.0000 0.0000 0.0000
Pu 0.0000 3.1763 3.1763
Pu 3.1763 0.0000 3.1763
Pu 3.1763 3.1763 0.0000
Mn 1.5881 1.5881 1.5881
Mn 1.5881 4.7644 4.7644
Mn 4.7644 1.5881 4.7644
Mn 4.7644 4.7644 1.5881
V 0.0000 0.0000 3.1763
V 0.0000 3.1763 0.0000
V 3.1763 0.0000 0.0000
V 3.1763 3.1763 3.1763
Ru 1.5881 1.5881 4.7644
Ru 1.5881 4.7644 1.5881
Ru 4.7644 1.5881 1.5881
Ru 4.7644 4.7644 4.7644
```

Computed properties:
The calculated total energy comes out at -10.41 eV/atom. For the density of states at the Fermi level, the calculation gives 6.86 states/eV/f.u. For the calculated formation energy, the calculation gives 0.0601 eV per atom. The space group is No. 216. The value obtained for the magnetization is 3.9 μB per formula unit.

12.
Entry from Alexandria: a geometry-optimized Tb3DyTm2P6 structure (GGA-PBE).

```
12
Lattice="3.4628 -5.9968 0.0000 3.4628 5.9968 0.0000 -2.3058 0.0000 6.5291" Properties=species:S:1:pos:R:3 pbc="T T T"
Tb 0.0000 0.0000 0.0000
Tb 3.4628 1.9939 0.0000
Tb 3.4628 -1.9939 0.0000
Dy 2.3099 0.0000 3.2645
Tm 2.3099 3.9963 3.2645
Tm 2.3099 -3.9963 3.2645
P 1.1481 2.0106 1.6562
P -0.0117 0.0000 4.8710
P 1.1481 -2.0106 1.6562
P 3.4717 2.0106 4.8729
P 4.6315 0.0000 1.6581
P 3.4717 -2.0106 4.8729
```

Computed properties:
The calculated total energy comes out at -6.60 eV/atom. For the density of states at the Fermi level, the calculation gives 1.72 states/eV/f.u. For the calculated formation energy, the calculation gives -1.6091 eV per atom. The space group is No. 12. The value obtained for the magnetization is 0.0 μB per formula unit.